A relaxed HfMgGeOs crystal, computed with PBE.

Results
Crystal system ... cubic
Symmetry ... F-43m
E ... -6.803 eV per atom
Relative energy among the computed polymorphs ... 0.242 eV per atom

Structure (extended XYZ):
```
4
Lattice="0.000 3.206 3.206 3.206 0.000 3.206 3.206 3.206 0.000" Properties=species:S:1:pos:R:3 pbc="T T T"
Hf 0.000 0.000 0.000
Mg 4.808 4.808 4.808
Ge 1.603 1.603 1.603
Os 3.206 3.206 3.206
```